ZnCrP2O7 | PBE with a Hubbard U | relaxed

## Properties
raw total energy	-153.17	eV for the cell shown
total magnetization	8.00	μB per cell

Unit cell a=5.503 b=6.515 c=7.584 alpha=80.65 beta=87.25 gamma=71.92
Atoms (fractional coordinates):
Zn 0.174 0.345 0.355
Zn 0.826 0.655 0.645
Cr 0.217 0.842 0.825
Cr 0.783 0.158 0.175
P 0.281 0.800 0.385
P 0.312 0.314 0.906
P 0.688 0.686 0.094
P 0.719 0.200 0.615
O 0.111 0.650 0.429
O 0.120 0.041 0.325
O 0.141 0.545 0.828
O 0.190 0.139 0.894
O 0.406 0.308 0.096
O 0.427 0.724 0.207
O 0.466 0.780 0.534
O 0.534 0.220 0.466
O 0.573 0.276 0.793
O 0.594 0.692 0.904
O 0.810 0.861 0.106
O 0.859 0.455 0.172
O 0.880 0.959 0.675
O 0.889 0.350 0.571